Entry 1:
Computed, not measured: a relaxed structure of FeOsSe at the PBE level of DFT.

a b c (Å): 2.941 2.941 9.838
angles (deg): 90.00 90.00 90.00
Space group I4mm (No. 107)
One atom of each set of equivalent atoms:
Fe  0.000  0.000  0.000 [2 per cell]
Os  0.000  0.000  0.666 [2 per cell]
Se  0.000  0.000  0.334 [2 per cell]

Output
- DFT total energy: -21.753 eV/f.u.
- Total moment: 2.2 μB per formula unit

Entry 2:
Computed, not measured: a relaxed structure of FeOsSe at the PBE level of DFT.

a b c (Å): 5.837 5.837 5.837
angles (deg): 90.00 90.00 90.00
Space group F-43m (No. 216)
One atom of each set of equivalent atoms:
Fe  0.000  0.000  0.000 [4 per cell]
Os  0.250  0.250  0.250 [4 per cell]
Se  0.000  0.000  0.500 [4 per cell]

Output
- DFT total energy: -21.783 eV/f.u.
- Total moment: 2.3 μB per formula unit

Entry 3:
Computed, not measured: a relaxed structure of FeTc2OsSe at the PBE level of DFT.

a b c (Å): 4.377 4.377 4.312
angles (deg): 90.00 90.00 90.00
Space group P4/mmm (No. 123)
One atom of each set of equivalent atoms:
Fe  0.000  0.000  0.000 [1 per cell]
Tc  0.000  0.500  0.000 [2 per cell]
Os  0.500  0.500  0.500 [1 per cell]
Se  0.000  0.000  0.500 [1 per cell]

Output
- DFT total energy: -36.041 eV/f.u.
- Total moment: 0.0 μB per formula unit

> DFT total energy of number 1 (FeOsSe)?

-21.753 eV/f.u.

> Which value of total moment does entry 3 give?

0.0 μB per formula unit